Computed, not measured: a relaxed Tb2NiPdC crystal at the GGA-PBE level of DFT.

## Properties
DFT total energy in eV/cell: -32.219
Calculated formation energy in meV/atom: -552.0
Crystal system: tetragonal

a = 3.6387 Å, b = 4.9989 Å, c = 4.9989 Å
α = 90.00°, β = 90.00°, γ = 90.00°
Last column: nearest neighbours and their distance in Å.
Sites, in units of the cell vectors:
Tb 0.0000 0.0000 0.5000  2 C 2.50
Tb 0.0000 0.5000 0.0000  2 C 2.50
Ni 0.5000 0.0000 0.0000  2 C 1.82
Pd 0.5000 0.5000 0.5000  8 Tb 3.09
C 0.0000 0.0000 0.0000  2 Ni 1.82